# 1
VASP calculation (PBE) on an optimized crystal structure of Ca2IrS.

Unit cell a=7.5081 b=7.5081 c=6.4249 alpha=90.00 beta=90.00 gamma=90.00
Last column: nearest neighbours and their distance in Å.
Element x y z (fractional)
Ca (0.2433, 0.7500, 0.1250)  2 S 2.74, 2 Ir 2.81
Ca (0.2500, 0.2433, 0.8750)  2 S 2.74, 2 Ir 2.81
Ca (0.2500, 0.2567, 0.3750)  2 S 2.74, 2 Ir 2.81
Ca (0.2567, 0.7500, 0.6250)  2 S 2.74, 2 Ir 2.81
Ca (0.7433, 0.2500, 0.6250)  2 S 2.74, 2 Ir 2.81
Ca (0.7500, 0.7433, 0.3750)  2 S 2.74, 2 Ir 2.81
Ca (0.7500, 0.7567, 0.8750)  2 S 2.74, 2 Ir 2.81
Ca (0.7567, 0.2500, 0.1250)  2 S 2.74, 2 Ir 2.81
Ir (0.0000, 0.0000, 0.5000)  4 Ca 2.81
Ir (0.0000, 0.5000, 0.7500)  4 Ca 2.81
Ir (0.5000, 0.0000, 0.2500)  4 Ca 2.81
Ir (0.5000, 0.5000, 0.0000)  4 Ca 2.81
S (0.0000, 0.0000, 0.0000)  4 Ca 2.74
S (0.0000, 0.5000, 0.2500)  4 Ca 2.74
S (0.5000, 0.0000, 0.7500)  4 Ca 2.74
S (0.5000, 0.5000, 0.5000)  4 Ca 2.74

Values from the calculation:
Total magnetization in μB per formula unit: 0.0

***

# 2
VASP calculation (PBE) on an optimized crystal structure of Pm2Dy2Hg3.

Unit cell a=9.0710 b=9.0710 c=9.0710 alpha=33.54 beta=33.54 gamma=33.54
Last column: nearest neighbours and their distance in Å.
Element x y z (fractional)
Pm (0.1273, 0.1273, 0.1273)  5 Hg 3.20-3.27
Pm (0.8727, 0.8727, 0.8727)  5 Hg 3.20-3.27
Dy (0.3777, 0.3777, 0.3777)  7 Hg 3.17-3.23
Dy (0.6223, 0.6223, 0.6223)  7 Hg 3.17-3.23
Hg (0.0000, 0.0000, 0.0000)  6 Dy 3.23, 2 Pm 3.27
Hg (0.2521, 0.2521, 0.2521)  4 Dy 3.17-3.22, 4 Pm 3.20-3.25
Hg (0.7479, 0.7479, 0.7479)  4 Dy 3.17-3.22, 4 Pm 3.20-3.25

Values from the calculation:
Energy of formation from the pure elements in kJ/mol of atoms: -30.97
Total magnetization in μB per formula unit: 0.8

***

# 3
VASP calculation (PBE) on an optimized crystal structure of Ca2AlGa2Ir5.

Unit cell a=10.2666 b=10.2666 c=3.1859 alpha=90.00 beta=90.00 gamma=90.00
Last column: nearest neighbours and their distance in Å.
Element x y z (fractional)
Ca (0.1728, 0.3272, 0.0000)  3 Ga 2.83-3.16, 2 Ir 2.97
Ca (0.3272, 0.8272, 0.0000)  3 Ga 2.83-3.16, 2 Ir 2.97
Ca (0.6728, 0.1728, 0.0000)  3 Ga 2.83-3.16, 2 Ir 2.97
Ca (0.8272, 0.6728, 0.0000)  3 Ga 2.83-3.16, 2 Ir 2.97
Al (0.0000, 0.0000, 0.0000)  8 Ir 2.62
Al (0.5000, 0.5000, 0.0000)  8 Ir 2.62
Ga (0.1320, 0.6320, 0.0000)  6 Ir 2.49-2.50
Ga (0.3680, 0.1320, 0.0000)  6 Ir 2.49-2.50
Ga (0.6320, 0.8680, 0.0000)  6 Ir 2.49-2.50
Ga (0.8680, 0.3680, 0.0000)  6 Ir 2.49-2.50
Ir (0.0000, 0.5000, 0.5000)  4 Ga 2.49
Ir (0.0598, 0.8058, 0.5000)  2 Ga 2.50, 2 Al 2.62
Ir (0.1942, 0.0598, 0.5000)  2 Ga 2.50, 2 Al 2.62
Ir (0.3058, 0.5598, 0.5000)  2 Ga 2.50, 2 Al 2.62
Ir (0.4402, 0.3058, 0.5000)  2 Ga 2.50, 2 Al 2.62
Ir (0.5000, 0.0000, 0.5000)  4 Ga 2.49
Ir (0.5598, 0.6942, 0.5000)  2 Ga 2.50, 2 Al 2.62
Ir (0.6942, 0.4402, 0.5000)  2 Ga 2.50, 2 Al 2.62
Ir (0.8058, 0.9402, 0.5000)  2 Ga 2.50, 2 Al 2.62
Ir (0.9402, 0.1942, 0.5000)  2 Ga 2.50, 2 Al 2.62

Values from the calculation:
Energy of formation from the pure elements in kJ/mol of atoms: -43.65
Total magnetization in μB per formula unit: 0.0

***

# 4
VASP calculation (PBE) on an optimized crystal structure of NbCuF2.

Unit cell a=5.3961 b=5.3961 c=8.2023 alpha=90.00 beta=90.00 gamma=90.00
Last column: nearest neighbours and their distance in Å.
Element x y z (fractional)
Nb (0.0000, 0.0000, 0.0000)  4 F 2.22
Nb (0.0000, 0.5000, 0.2500)  4 F 2.22
Nb (0.5000, 0.0000, 0.7500)  4 F 2.22
Nb (0.5000, 0.5000, 0.5000)  4 F 2.22
Cu (0.0000, 0.0000, 0.5000)  4 F 2.11
Cu (0.0000, 0.5000, 0.7500)  4 F 2.11
Cu (0.5000, 0.0000, 0.2500)  4 F 2.11
Cu (0.5000, 0.5000, 0.0000)  4 F 2.11
F (0.2332, 0.2500, 0.6250)  2 Cu 2.11, 2 Nb 2.22
F (0.2500, 0.7332, 0.8750)  2 Cu 2.11, 2 Nb 2.22
F (0.2500, 0.7668, 0.3750)  2 Cu 2.11, 2 Nb 2.22
F (0.2668, 0.2500, 0.1250)  2 Cu 2.11, 2 Nb 2.22
F (0.7332, 0.7500, 0.1250)  2 Cu 2.11, 2 Nb 2.22
F (0.7500, 0.2332, 0.3750)  2 Cu 2.11, 2 Nb 2.22
F (0.7500, 0.2668, 0.8750)  2 Cu 2.11, 2 Nb 2.22
F (0.7668, 0.7500, 0.6250)  2 Cu 2.11, 2 Nb 2.22

Values from the calculation:
Total magnetization in μB per formula unit: 0.9
Offset from the most stable computed form in meV/atom: 582

***

# 5
VASP calculation (PBE) on an optimized crystal structure of Ce3Pt2.

Unit cell a=11.6923 b=3.9665 c=11.2346 alpha=90.00 beta=90.00 gamma=90.00
Last column: nearest neighbours and their distance in Å.
Element x y z (fractional)
Ce (0.0574, 0.2500, 0.1388)  5 Pt 2.91-3.08
Ce (0.1294, 0.7500, 0.5510)  5 Pt 2.89-3.11, 1 Ce 3.22
Ce (0.2246, 0.2500, 0.8082)  4 Pt 2.93-3.21, 1 Ce 3.22
Ce (0.2754, 0.7500, 0.3082)  4 Pt 2.93-3.21, 1 Ce 3.22
Ce (0.3706, 0.2500, 0.0510)  5 Pt 2.89-3.11, 1 Ce 3.22
Ce (0.4426, 0.7500, 0.6388)  5 Pt 2.91-3.08
Ce (0.5574, 0.2500, 0.3612)  5 Pt 2.91-3.08
Ce (0.6294, 0.7500, 0.9490)  5 Pt 2.89-3.11, 1 Ce 3.22
Ce (0.7246, 0.2500, 0.6918)  4 Pt 2.93-3.21, 1 Ce 3.22
Ce (0.7754, 0.7500, 0.1918)  4 Pt 2.93-3.21, 1 Ce 3.22
Ce (0.8706, 0.2500, 0.4490)  5 Pt 2.89-3.11, 1 Ce 3.22
Ce (0.9426, 0.7500, 0.8612)  5 Pt 2.91-3.08
Pt (0.0013, 0.7500, 0.3199)  7 Ce 2.89-3.21
Pt (0.1738, 0.7500, 0.9923)  7 Ce 2.91-3.11
Pt (0.3262, 0.2500, 0.4923)  7 Ce 2.91-3.11
Pt (0.4987, 0.2500, 0.8199)  7 Ce 2.89-3.21
Pt (0.5013, 0.7500, 0.1801)  7 Ce 2.89-3.21
Pt (0.6738, 0.7500, 0.5077)  7 Ce 2.91-3.11
Pt (0.8262, 0.2500, 0.0077)  7 Ce 2.91-3.11
Pt (0.9987, 0.2500, 0.6801)  7 Ce 2.89-3.21

Values from the calculation:
Energy of formation from the pure elements in kJ/mol of atoms: -79.95
Total magnetization in μB per formula unit: 2.5
Offset from the most stable computed form in meV/atom: 17

***

# 6
VASP calculation (PBE) on an optimized crystal structure of Cr3GeI.

Unit cell a=4.9501 b=4.9501 c=4.9501 alpha=90.00 beta=90.00 gamma=90.00
Last column: nearest neighbours and their distance in Å.
Element x y z (fractional)
Cr (0.0000, 0.0000, 0.5000)  2 Ge 2.48
Cr (0.0000, 0.5000, 0.0000)  2 Ge 2.48
Cr (0.5000, 0.0000, 0.0000)  2 Ge 2.48
Ge (0.0000, 0.0000, 0.0000)  6 Cr 2.48
I (0.5000, 0.5000, 0.5000)  12 Cr 3.50

Values from the calculation:
Total magnetization in μB per formula unit: 13.0
Offset from the most stable computed form in meV/atom: 0

***

# 7
VASP calculation (PBE) on an optimized crystal structure of BaMgP2O.

Unit cell a=5.3888 b=5.3888 c=3.8305 alpha=90.00 beta=90.00 gamma=90.00
Last column: nearest neighbours and their distance in Å.
Element x y z (fractional)
Ba (0.0000, 0.0000, 0.0000)  8 P 3.31
Mg (0.5000, 0.5000, 0.5000)  2 O 1.92
P (0.0000, 0.5000, 0.5000)  2 Mg 2.69
P (0.5000, 0.0000, 0.5000)  2 Mg 2.69
O (0.5000, 0.5000, 0.0000)  2 Mg 1.92

Values from the calculation:
Total magnetization in μB per formula unit: 0.0
Offset from the most stable computed form in meV/atom: 0

***

# 8
VASP calculation (PBE) on an optimized crystal structure of K2ZrSbO6.

Unit cell a=5.8312 b=5.8312 c=5.8312 alpha=60.00 beta=60.00 gamma=60.00
Last column: nearest neighbours and their distance in Å.
Element x y z (fractional)
K (0.2500, 0.2500, 0.2500)  12 O 2.92
K (0.7500, 0.7500, 0.7500)  12 O 2.92
Zr (0.0000, 0.0000, 0.0000)  6 O 2.12
Sb (0.5000, 0.5000, 0.5000)  6 O 2.01
O (0.2565, 0.2565, 0.7435)  1 Sb 2.01, 1 Zr 2.12
O (0.2565, 0.7435, 0.2565)  1 Sb 2.01, 1 Zr 2.12
O (0.2565, 0.7435, 0.7435)  1 Sb 2.01, 1 Zr 2.12
O (0.7435, 0.2565, 0.2565)  1 Sb 2.01, 1 Zr 2.12
O (0.7435, 0.2565, 0.7435)  1 Sb 2.01, 1 Zr 2.12
O (0.7435, 0.7435, 0.2565)  1 Sb 2.01, 1 Zr 2.12

Values from the calculation:
Total magnetization in μB per formula unit: 0.8

***

# 9
VASP calculation (PBE) on an optimized crystal structure of SmDyMgIn.

Unit cell a=7.5843 b=7.5843 c=7.5843 alpha=90.00 beta=90.00 gamma=90.00
Last column: nearest neighbours and their distance in Å.
Element x y z (fractional)
Sm (0.0000, 0.0000, 0.0000)  4 In 3.28, 4 Mg 3.28
Sm (0.0000, 0.5000, 0.5000)  4 In 3.28, 4 Mg 3.28
Sm (0.5000, 0.0000, 0.5000)  4 In 3.28, 4 Mg 3.28
Sm (0.5000, 0.5000, 0.0000)  4 In 3.28, 4 Mg 3.28
Dy (0.0000, 0.0000, 0.5000)  4 In 3.28, 4 Mg 3.28
Dy (0.0000, 0.5000, 0.0000)  4 In 3.28, 4 Mg 3.28
Dy (0.5000, 0.0000, 0.0000)  4 In 3.28, 4 Mg 3.28
Dy (0.5000, 0.5000, 0.5000)  4 Mg 3.28, 4 In 3.28
Mg (0.2500, 0.2500, 0.2500)  4 Dy 3.28, 4 Sm 3.28
Mg (0.2500, 0.7500, 0.7500)  4 Dy 3.28, 4 Sm 3.28
Mg (0.7500, 0.2500, 0.7500)  4 Dy 3.28, 4 Sm 3.28
Mg (0.7500, 0.7500, 0.2500)  4 Dy 3.28, 4 Sm 3.28
In (0.2500, 0.2500, 0.7500)  4 Dy 3.28, 4 Sm 3.28
In (0.2500, 0.7500, 0.2500)  4 Dy 3.28, 4 Sm 3.28
In (0.7500, 0.2500, 0.2500)  4 Dy 3.28, 4 Sm 3.28
In (0.7500, 0.7500, 0.7500)  4 Dy 3.28, 4 Sm 3.28

Values from the calculation:
Energy of formation from the pure elements in kJ/mol of atoms: -31.70
Total magnetization in μB per formula unit: 0.0

***

# 10
VASP calculation (PBE) on an optimized crystal structure of ScRe2Bi4.

Unit cell a=5.5193 b=5.5193 c=13.8577 alpha=90.00 beta=90.00 gamma=90.00
Last column: nearest neighbours and their distance in Å.
Element x y z (fractional)
Sc (0.0000, 0.0000, 0.0000)  6 Bi 2.76-3.00
Sc (0.5000, 0.5000, 0.5000)  6 Bi 2.76-3.00
Re (0.0000, 0.0000, 0.4156)  1 Re 2.34
Re (0.0000, 0.0000, 0.5844)  1 Re 2.34
Re (0.5000, 0.5000, 0.0844)  1 Re 2.34
Re (0.5000, 0.5000, 0.9156)  1 Re 2.34
Bi (0.0000, 0.0000, 0.2166)  1 Re 2.76, 1 Sc 3.00
Bi (0.0000, 0.0000, 0.7834)  1 Re 2.76, 1 Sc 3.00
Bi (0.0000, 0.5000, 0.0000)  2 Sc 2.76, 4 Re 3.00
Bi (0.0000, 0.5000, 0.5000)  2 Sc 2.76, 4 Re 3.00
Bi (0.5000, 0.0000, 0.0000)  2 Sc 2.76, 4 Re 3.00
Bi (0.5000, 0.0000, 0.5000)  2 Sc 2.76, 4 Re 3.00
Bi (0.5000, 0.5000, 0.2834)  1 Re 2.76, 1 Sc 3.00
Bi (0.5000, 0.5000, 0.7166)  1 Re 2.76, 1 Sc 3.00

Values from the calculation:
Energy of formation from the pure elements in kJ/mol of atoms: 95.29
Total magnetization in μB per formula unit: 0.9

***

# 11
VASP calculation (PBE) on an optimized crystal structure of Bi2Te2N.

Unit cell a=4.0458 b=4.0458 c=18.6859 alpha=90.00 beta=90.00 gamma=90.00
Last column: nearest neighbours and their distance in Å.
Element x y z (fractional)
Bi (0.0000, 0.0000, 0.0751)  1 Bi 2.81
Bi (0.0000, 0.0000, 0.9249)  1 Bi 2.81
Bi (0.5000, 0.5000, 0.4249)  1 Bi 2.81
Bi (0.5000, 0.5000, 0.5751)  1 Bi 2.81
Te (0.0000, 0.5000, 0.2500)  4 Te 2.86
Te (0.0000, 0.5000, 0.7500)  4 Te 2.86
Te (0.5000, 0.0000, 0.2500)  4 Te 2.86
Te (0.5000, 0.0000, 0.7500)  4 Te 2.86
N (0.0000, 0.0000, 0.5000)  8 Bi 3.19
N (0.5000, 0.5000, 0.0000)  8 Bi 3.19

Values from the calculation:
Total magnetization in μB per formula unit: 0.0
Offset from the most stable computed form in meV/atom: 587

***

# 12
VASP calculation (PBE) on an optimized crystal structure of Ce2SiP3Rh4.

Unit cell a=4.1141 b=4.1141 c=9.7520 alpha=90.00 beta=90.00 gamma=90.00
Last column: nearest neighbours and their distance in Å.
Element x y z (fractional)
Ce (0.0000, 0.5000, 0.2476)  6 P 3.11-3.17, 8 Rh 3.16-3.21, 2 Si 3.17
Ce (0.5000, 0.0000, 0.7524)  6 P 3.11-3.17, 8 Rh 3.16-3.21, 2 Si 3.17
Si (0.5000, 0.5000, 0.0000)  4 Rh 2.37
P (0.0000, 0.0000, 0.0000)  4 Rh 2.37
P (0.0000, 0.5000, 0.6384)  5 Rh 2.34-2.46
P (0.5000, 0.0000, 0.3616)  5 Rh 2.34-2.46
Rh (0.0000, 0.0000, 0.5000)  4 P 2.46
Rh (0.0000, 0.5000, 0.8786)  3 P 2.34-2.37, 2 Si 2.37
Rh (0.5000, 0.0000, 0.1214)  3 P 2.34-2.37, 2 Si 2.37
Rh (0.5000, 0.5000, 0.5000)  4 P 2.46

Values from the calculation:
Total magnetization in μB per formula unit: 0.1

***

Record order is preserved below.
E_tot: -4.73 -3.12 -6.26 -4.94 -6.81 -6.21 -4.27 -6.48 -3.74 -5.69 -3.40 -7.40 eV per atom
Record order is preserved below.
Theoretical density: 5583 9957 11944 5408 10333 4867 3577 4586 6882 9860 7461 8177 kg/m³
Record order is preserved below.
DOS at the Fermi energy: 1.7 9.4 3.5 4.9 15.0 2.0 4.9 5.8 2.7 6.1 3.4 7.0 states/eV/f.u.